No. 1
The following is a PBE calculation of a geometry-optimized Ce4Tc2Hg3 structure, from Alexandria.

a = 8.7250 Å, b = 8.7250 Å, c = 6.8603 Å
α = 92.67°, β = 92.67°, γ = 61.58°
With the nearest neighbours (Å) after each atom.
Element x y z (fractional)
Ce1 0.1040 0.7025 0.8819  1 Tc 2.36
Ce2 0.2373 0.3582 0.5014  2 Tc 2.57-2.78
Ce3 0.2975 0.8960 0.6181  1 Tc 2.36
Ce4 0.3582 0.2373 0.0014  2 Tc 2.57-2.78
Ce5 0.6418 0.7627 0.9986  2 Tc 2.57-2.78
Ce6 0.7025 0.1040 0.3819  1 Tc 2.36
Ce7 0.7627 0.6418 0.4986  2 Tc 2.57-2.78
Ce8 0.8960 0.2975 0.1181  1 Tc 2.36
Tc1 0.0512 0.4651 0.8072  2 Ce 2.36-2.57
Tc2 0.4651 0.0512 0.3072  2 Ce 2.36-2.57
Tc3 0.5349 0.9488 0.6928  2 Ce 2.36-2.57
Tc4 0.9488 0.5349 0.1928  2 Ce 2.36-2.57
Hg1 0.0736 0.7608 0.3723  1 Tc 2.88, 1 Hg 3.07, 2 Ce 3.12-3.20
Hg2 0.2392 0.9264 0.1277  1 Tc 2.88, 1 Hg 3.07, 2 Ce 3.12-3.20
Hg3 0.4768 0.5232 0.2500  4 Hg 3.25-3.46, 6 Ce 3.37-3.58
Hg4 0.5232 0.4768 0.7500  4 Hg 3.25-3.46, 6 Ce 3.37-3.58
Hg5 0.7608 0.0736 0.8723  1 Tc 2.88, 1 Hg 3.07, 2 Ce 3.12-3.20
Hg6 0.9264 0.2392 0.6277  1 Tc 2.88, 1 Hg 3.07, 2 Ce 3.12-3.20

Results
* uncorrected energy: -0.3834 Ry/atom
* ΔE_f: -175 meV/atom
* DOS(E_F): 28.2 states/eV/cell

No. 2
The following is a PBE calculation of a geometry-optimized Tm5Pt3 structure, from Alexandria.

a = 8.3526 Å, b = 8.3526 Å, c = 6.0678 Å
α = 90.00°, β = 90.00°, γ = 120.00°
With the nearest neighbours (Å) after each atom.
Element x y z (fractional)
Tm1 0.0000 0.2452 0.2500  3 Pt 2.89-3.00
Tm2 0.0000 0.7548 0.7500  3 Pt 2.89-3.00
Tm3 0.2452 0.0000 0.2500  3 Pt 2.89-3.00
Tm4 0.2452 0.2452 0.7500  3 Pt 2.89-3.00
Tm5 0.3333 0.6667 0.0000  6 Pt 2.98, 2 Tm 3.03
Tm6 0.3333 0.6667 0.5000  6 Pt 2.98, 2 Tm 3.03
Tm7 0.6667 0.3333 0.0000  6 Pt 2.98, 2 Tm 3.03
Tm8 0.6667 0.3333 0.5000  6 Pt 2.98, 2 Tm 3.03
Tm9 0.7548 0.0000 0.7500  3 Pt 2.89-3.00
Tm10 0.7548 0.7548 0.2500  3 Pt 2.89-3.00
Pt1 0.0000 0.3950 0.7500  7 Tm 2.89-3.00
Pt2 0.0000 0.6050 0.2500  7 Tm 2.89-3.00
Pt3 0.3950 0.0000 0.7500  7 Tm 2.89-3.00
Pt4 0.3950 0.3950 0.2500  7 Tm 2.89-3.00
Pt5 0.6050 0.0000 0.2500  7 Tm 2.89-3.00
Pt6 0.6050 0.6050 0.7500  7 Tm 2.89-3.00

Results
* uncorrected energy: -0.4506 Ry/atom
* ΔE_f: -1071 meV/atom
* DOS(E_F): 9.3 states/eV/cell

No. 3
The following is a PBE calculation of a geometry-optimized TbPmGdZn structure, from Alexandria.

a = 7.6266 Å, b = 7.6266 Å, c = 7.6266 Å
α = 90.00°, β = 90.00°, γ = 90.00°
With the nearest neighbours (Å) after each atom.
Element x y z (fractional)
Tb1 0.0000 0.0000 0.0000  4 Pm 3.30, 4 Zn 3.30
Tb2 0.0000 0.5000 0.5000  4 Pm 3.30, 4 Zn 3.30
Tb3 0.5000 0.0000 0.5000  4 Pm 3.30, 4 Zn 3.30
Tb4 0.5000 0.5000 0.0000  4 Pm 3.30, 4 Zn 3.30
Pm1 0.2500 0.2500 0.2500  4 Gd 3.30, 4 Tb 3.30
Pm2 0.2500 0.7500 0.7500  4 Gd 3.30, 4 Tb 3.30
Pm3 0.7500 0.2500 0.7500  4 Gd 3.30, 4 Tb 3.30
Pm4 0.7500 0.7500 0.2500  4 Gd 3.30, 4 Tb 3.30
Gd1 0.0000 0.0000 0.5000  4 Pm 3.30, 4 Zn 3.30
Gd2 0.0000 0.5000 0.0000  4 Pm 3.30, 4 Zn 3.30
Gd3 0.5000 0.0000 0.0000  4 Pm 3.30, 4 Zn 3.30
Gd4 0.5000 0.5000 0.5000  4 Pm 3.30, 4 Zn 3.30
Zn1 0.2500 0.2500 0.7500  4 Tb 3.30, 4 Gd 3.30
Zn2 0.2500 0.7500 0.2500  4 Tb 3.30, 4 Gd 3.30
Zn3 0.7500 0.2500 0.2500  4 Tb 3.30, 4 Gd 3.30
Zn4 0.7500 0.7500 0.7500  4 Tb 3.30, 4 Gd 3.30

Results
* uncorrected energy: -0.4496 Ry/atom
* ΔE_f: 67 meV/atom
* DOS(E_F): 18.6 states/eV/cell

No. 4
The following is a PBE calculation of a geometry-optimized NbCdIn structure, from Alexandria.

a = 3.0056 Å, b = 10.4347 Å, c = 4.9639 Å
α = 90.00°, β = 127.16°, γ = 90.00°
With the nearest neighbours (Å) after each atom.
Element x y z (fractional)
Nb1 0.0000 0.2473 0.2500  4 In 2.97, 2 Nb 3.01, 4 Cd 3.07
Nb2 0.0000 0.7527 0.7500  4 In 2.97, 2 Nb 3.01, 4 Cd 3.07
Cd1 0.0000 0.4198 0.7500  6 Cd 2.99-3.01, 4 Nb 3.07
Cd2 0.0000 0.5802 0.2500  6 Cd 2.99-3.01, 4 Nb 3.07
In1 0.0000 0.0912 0.7500  4 Nb 2.97, 6 In 3.01-3.13
In2 0.0000 0.9088 0.2500  4 Nb 2.97, 6 In 3.01-3.13

Results
* uncorrected energy: -0.3161 Ry/atom
* ΔE_f: 274 meV/atom
* DOS(E_F): 4.2 states/eV/cell

Number 1 is which compound? Ce4Tc2Hg3